DFT (PBE-GGA) results for crystalline TiOsC2 at its relaxed geometry.

- excess energy over the best structure of this formula in the dataset (meV/atom) = 281.4
- M_tot (μB/f.u.) = 0.00
- ΔE_f (meV/atom) = 549.1
- electronic total energy (eV/cell) = -35.4

a b c (Å): 3.7850 3.7850 3.7850
angles (deg): 60.00 60.00 60.00
Fractional coordinates of all 4 atoms:
Ti1 0.0000 0.0000 0.0000
Os1 0.5000 0.5000 0.5000
C1 0.2500 0.2500 0.2500
C2 0.7500 0.7500 0.7500